No. 1
The following is a GGA-PBE calculation of a relaxed TbPmPr5Nd2 crystal, from Alexandria via LeMat-Bulk.

a = 10.2737 Å, b = 10.2737 Å, c = 10.2737 Å
α = 128.65°, β = 128.65°, γ = 75.58°
Sites, in units of the cell vectors:
Tb1 0.2500 0.7500 0.5000
Tb2 0.7500 0.2500 0.5000
Pm1 0.2500 0.2500 0.0000
Pm2 0.7500 0.7500 0.0000
Pr1 0.0000 0.0000 0.0000
Pr2 0.0698 0.5698 0.9202
Pr3 0.1496 0.0698 0.5000
Pr4 0.3504 0.8504 0.9202
Pr5 0.4302 0.3504 0.5000
Pr6 0.5000 0.5000 0.0000
Pr7 0.5698 0.6496 0.5000
Pr8 0.6496 0.1496 0.0798
Pr9 0.8504 0.9302 0.5000
Pr10 0.9302 0.4302 0.0798
Nd1 0.1182 0.3818 0.5000
Nd2 0.3818 0.8818 0.2637
Nd3 0.6182 0.1182 0.7363
Nd4 0.8818 0.6182 0.5000

Summary:
Its calculated total energy is -4.490 eV/atom. Its formation energy is 267 meV/atom. As for the space group: I4/mcm (140). The value obtained for the density of states at the Fermi level is 14.98 states/eV/f.u.

No. 2
The following is a GGA-PBE calculation of a relaxed Ag2Pd3Pb crystal, from Alexandria via LeMat-Bulk.

a = 6.6986 Å, b = 6.6986 Å, c = 3.8724 Å
α = 90.00°, β = 90.00°, γ = 142.54°
Sites, in units of the cell vectors:
Ag1 0.1734 0.8266 0.0000
Ag2 0.8266 0.1734 0.0000
Pd1 0.0000 0.0000 0.5000
Pd2 0.3348 0.6652 0.5000
Pd3 0.6652 0.3348 0.5000
Pb1 0.5000 0.5000 0.0000

Summary:
Its calculated total energy is -4.311 eV/atom. The calculation puts the distance to the lowest polymorph of the same formula at 0.0 kJ/mol of atoms. Its formation energy is -146 meV/atom. As for the space group: Cmmm (65). The value obtained for the density of states at the Fermi level is 1.84 states/eV/f.u.

No. 3
The following is a GGA-PBE calculation of a relaxed Ac2CeIn3 crystal, from Alexandria via LeMat-Bulk.

a = 4.0268 Å, b = 4.0268 Å, c = 12.1003 Å
α = 90.00°, β = 90.00°, γ = 90.00°
Sites, in units of the cell vectors:
Ac1 0.0000 0.0000 0.1740
Ac2 0.0000 0.0000 0.8260
Ce1 0.0000 0.0000 0.5000
In1 0.5000 0.5000 0.0000
In2 0.5000 0.5000 0.3508
In3 0.5000 0.5000 0.6492

Summary:
Its calculated total energy is -4.104 eV/atom. The calculation puts the distance to the lowest polymorph of the same formula at 0.0 kJ/mol of atoms. Its formation energy is -376 meV/atom. As for the space group: P4/mmm (123). The value obtained for the density of states at the Fermi level is 11.10 states/eV/f.u.

No. 4
The following is a GGA-PBE calculation of a relaxed TlBTe2 crystal, from Alexandria via LeMat-Bulk.

a = 6.6938 Å, b = 6.6938 Å, c = 6.6938 Å
α = 113.97°, β = 113.97°, γ = 100.81°
Sites, in units of the cell vectors:
Tl1 0.0000 0.0000 0.0000
Tl2 0.7500 0.2500 0.5000
B1 0.2500 0.7500 0.5000
B2 0.5000 0.5000 0.0000
Te1 0.2419 0.6250 0.1169
Te2 0.3750 0.4919 0.6169
Te3 0.5081 0.1250 0.8831
Te4 0.8750 0.7581 0.3831

Summary:
Its calculated total energy is -3.696 eV/atom. The value obtained for the uncorrected formation energy is 0.136 eV per atom. The calculation puts the distance to the lowest polymorph of the same formula at 0.0 kJ/mol of atoms. As for the space group: I-42d (122). The value obtained for the density of states at the Fermi level is 0.00 states/eV/f.u.

No. 5
The following is a GGA-PBE calculation of a relaxed Nd3RuC3 crystal, from Alexandria via LeMat-Bulk.

a = 6.9977 Å, b = 6.9977 Å, c = 5.3516 Å
α = 90.00°, β = 90.00°, γ = 101.06°
Sites, in units of the cell vectors:
Nd1 0.1083 0.8917 0.7500
Nd2 0.1676 0.4095 0.7500
Nd3 0.4095 0.1676 0.2500
Nd4 0.5905 0.8324 0.7500
Nd5 0.8324 0.5905 0.2500
Nd6 0.8917 0.1083 0.2500
Ru1 0.3028 0.6972 0.2500
Ru2 0.6972 0.3028 0.7500
C1 0.1221 0.8779 0.2500
C2 0.1722 0.4296 0.2500
C3 0.4296 0.1722 0.7500
C4 0.5704 0.8278 0.2500
C5 0.8278 0.5704 0.7500
C6 0.8779 0.1221 0.7500

Summary:
Its calculated total energy is -7.471 eV/atom. Its formation energy is -150 meV/atom. As for the space group: Cmcm (63). The value obtained for the density of states at the Fermi level is 3.71 states/eV/f.u.

No. 6
The following is a GGA-PBE calculation of a relaxed TbSm10Er6 crystal, from Alexandria via LeMat-Bulk.

a = 9.7396 Å, b = 9.7396 Å, c = 6.8448 Å
α = 90.00°, β = 90.00°, γ = 120.00°
Sites, in units of the cell vectors:
Tb1 0.0000 0.0000 0.0000
Sm1 0.0000 0.2754 0.3158
Sm2 0.0000 0.7246 0.6842
Sm3 0.2754 0.0000 0.3158
Sm4 0.2754 0.2754 0.6842
Sm5 0.3333 0.6667 0.0000
Sm6 0.3333 0.6667 0.5000
Sm7 0.6667 0.3333 0.0000
Sm8 0.6667 0.3333 0.5000
Sm9 0.7246 0.0000 0.6842
Sm10 0.7246 0.7246 0.3158
Er1 0.0000 0.3722 0.8077
Er2 0.0000 0.6278 0.1923
Er3 0.3722 0.0000 0.8077
Er4 0.3722 0.3722 0.1923
Er5 0.6278 0.0000 0.1923
Er6 0.6278 0.6278 0.8077

Summary:
Its calculated total energy is -4.529 eV/atom. Its formation energy is 129 meV/atom. As for the space group: P-31m (162). The value obtained for the density of states at the Fermi level is 24.21 states/eV/f.u.

No. 7
The following is a GGA-PBE calculation of a relaxed CaSmBeN2 crystal, from Alexandria via LeMat-Bulk.

a = 4.9901 Å, b = 5.2657 Å, c = 6.6539 Å
α = 90.00°, β = 90.00°, γ = 90.00°
Sites, in units of the cell vectors:
Ca1 0.0000 0.0000 0.2500
Ca2 0.0000 0.0000 0.7500
Sm1 0.5000 0.5000 0.2500
Sm2 0.5000 0.5000 0.7500
Be1 0.5000 0.0000 0.0000
Be2 0.5000 0.0000 0.5000
N1 0.3013 0.2256 0.0000
N2 0.3013 0.7744 0.5000
N3 0.6987 0.2256 0.5000
N4 0.6987 0.7744 0.0000

Summary:
Its calculated total energy is -6.259 eV/atom. The value obtained for the uncorrected formation energy is -0.839 eV per atom. As for the space group: Pccm (49). The value obtained for the density of states at the Fermi level is 1.76 states/eV/f.u.

No. 8
The following is a GGA-PBE calculation of a relaxed Nd2PdF crystal, from Alexandria via LeMat-Bulk.

a = 9.4778 Å, b = 9.4778 Å, c = 9.4778 Å
α = 20.24°, β = 20.24°, γ = 20.24°
Sites, in units of the cell vectors:
Nd1 0.0960 0.0960 0.0960
Nd2 0.9040 0.9040 0.9040
Pd1 0.0000 0.0000 0.0000
F1 0.5000 0.5000 0.5000

Summary:
Its calculated total energy is -5.195 eV/atom. The value obtained for the uncorrected formation energy is -1.045 eV per atom. As for the space group: R-3m (166). The value obtained for the density of states at the Fermi level is 1.82 states/eV/f.u.